## Pr2GaO4 (PBE)

Data for a relaxed structure of Pr2GaO4.

abc: 6.718 6.718 6.718
angles: 120.00 90.00 120.00
Sites, in units of the cell vectors:
1 Ga 0.000 0.000 0.000
2 Ga 0.750 0.500 0.250
3 O 0.116 0.231 0.347
4 O 0.634 0.731 0.366
5 O 0.634 0.269 0.366
6 O 0.097 0.731 0.366
7 O 0.116 0.231 0.884
8 O 0.653 0.769 0.884
9 O 0.116 0.769 0.884
10 O 0.634 0.269 0.903
11 Pr 0.375 0.750 0.125
12 Pr 0.875 0.250 0.625
13 Pr 0.375 0.250 0.625
14 Pr 0.375 0.750 0.625

Total DFT energy (no corrections) = -0.262 Ha/atom
Space group = No. 227
M_tot = 0.00 Bohr magnetons per cell

## NiTe8Mo6 (PBE)

Data for a relaxed structure of NiTe8Mo6.

abc: 7.099 7.101 7.106
angles: 92.39 92.84 92.89
Sites, in units of the cell vectors:
1 Mo 0.546 0.420 0.240
2 Mo 0.240 0.545 0.419
3 Mo 0.580 0.760 0.453
4 Mo 0.420 0.240 0.547
5 Mo 0.760 0.455 0.581
6 Mo 0.454 0.580 0.760
7 Ni 0.000 0.000 0.000
8 Te 0.370 0.745 0.119
9 Te 0.210 0.210 0.212
10 Te 0.880 0.632 0.254
11 Te 0.746 0.121 0.372
12 Te 0.254 0.879 0.628
13 Te 0.120 0.368 0.746
14 Te 0.790 0.790 0.788
15 Te 0.630 0.255 0.881

Total DFT energy (no corrections) = -0.240 Ha/atom
Space group = No. 2
M_tot = 0.20 Bohr magnetons per cell

## NaErCo (PBE)

Data for a relaxed structure of NaErCo.

abc: 4.670 4.670 4.670
angles: 60.00 60.00 60.00
Sites, in units of the cell vectors:
1 Co 0.250 0.250 0.250
2 Er 0.000 0.000 0.000
3 Na 0.750 0.750 0.750

Total DFT energy (no corrections) = -0.124 Ha/atom
Space group = No. 216
Relative energy among the computed polymorphs = 37.40 kJ per mole of atoms
M_tot = 0.56 Bohr magnetons per cell

## CdCo2Tc (PBE)

Data for a relaxed structure of CdCo2Tc.

abc: 4.333 4.333 4.333
angles: 60.00 60.00 60.00
Sites, in units of the cell vectors:
1 Cd 0.250 0.250 0.250
2 Co 0.500 0.500 0.500
3 Co 0.750 0.750 0.750
4 Tc 0.000 0.000 0.000

Total DFT energy (no corrections) = -0.212 Ha/atom
Space group = No. 216
Formation energy from the elements = 230.2 kJ/mol of formula units
M_tot = 4.95 Bohr magnetons per cell

## LiCd2Ag (PBE)

Data for a relaxed structure of LiCd2Ag.

abc: 4.724 4.724 8.756
angles: 90.00 90.00 120.00
Sites, in units of the cell vectors:
1 Ag 0.000 0.000 0.000
2 Ag 0.000 0.000 0.500
3 Cd 0.667 0.333 0.088
4 Cd 0.667 0.333 0.412
5 Cd 0.333 0.667 0.588
6 Cd 0.333 0.667 0.912
7 Li 0.333 0.667 0.250
8 Li 0.667 0.333 0.750

Total DFT energy (no corrections) = -0.064 Ha/atom
Space group = No. 194
Relative energy among the computed polymorphs = 10.04 kJ per mole of atoms

## Si2Ir2O5 (PBE)

Data for a relaxed structure of Si2Ir2O5.

abc: 6.719 3.862 3.862
angles: 90.00 90.00 90.00
Sites, in units of the cell vectors:
1 Ir 0.193 0.500 0.500
2 Ir 0.807 0.500 0.500
3 O 0.264 0.500 0.000
4 O 0.736 0.500 0.000
5 O 0.264 0.000 0.500
6 O 0.736 0.000 0.500
7 O 0.500 0.500 0.500
8 Si 0.000 0.000 0.000
9 Si 0.500 0.000 0.000

Total DFT energy (no corrections) = -0.222 Ha/atom
Space group = No. 123
Relative energy among the computed polymorphs = 33.54 kJ per mole of atoms
M_tot = 0.01 Bohr magnetons per cell

## Gd3CdC (PBE)

Data for a relaxed structure of Gd3CdC.

abc: 4.979 4.979 4.979
angles: 90.00 90.00 90.00
Sites, in units of the cell vectors:
1 C 0.000 0.000 0.000
2 Cd 0.500 0.500 0.500
3 Gd 0.500 0.000 0.000
4 Gd 0.000 0.500 0.000
5 Gd 0.000 0.000 0.500

Total DFT energy (no corrections) = -0.187 Ha/atom
Space group = No. 221
M_tot = 0.72 Bohr magnetons per cell

## KDyCoS3 (PBE)

Data for a relaxed structure of KDyCoS3.

abc: 8.771 3.870 9.136
angles: 90.00 107.40 90.00
Sites, in units of the cell vectors:
1 Co 0.076 0.250 0.090
2 Co 0.924 0.750 0.910
3 Dy 0.331 0.750 0.355
4 Dy 0.669 0.250 0.645
5 K 0.800 0.750 0.269
6 K 0.200 0.250 0.731
7 S 0.178 0.750 0.032
8 S 0.543 0.250 0.337
9 S 0.110 0.250 0.348
10 S 0.890 0.750 0.652
11 S 0.457 0.750 0.663
12 S 0.822 0.250 0.968

Total DFT energy (no corrections) = -0.202 Ha/atom
Space group = No. 11
M_tot = 3.72 Bohr magnetons per cell